1.
Here is an optimized crystal structure of CaCd3Au8 from Alexandria. Energies are from PBE.

Cell: 5.6385 5.6385 9.5759 Å, 72.88 72.88 60.00°
Element x y z (fractional)
Ca: 0.8756 0.8756 0.3732
Au: 0.4382 0.9373 0.1862
Cd: 0.4932 0.4932 0.5203
Au: 0.1878 0.1878 0.4365
Au: 0.9373 0.4382 0.1862
Cd: 0.3736 0.3736 0.8792
Au: 0.4383 0.9376 0.6866
Au: 0.9376 0.4383 0.6866
Au: 0.4382 0.4382 0.1862
Cd: 0.0048 0.0048 0.9855
Au: 0.9376 0.9376 0.6866
Au: 0.6878 0.6878 0.9367

Output
* energy of formation from the pure elements: -258 meV/atom
* volume: 247.9 Å³ per cell
* calculated total energy: -2.839 eV per atom

=====

2.
Here is an optimized crystal structure of BaLa2Ru from Alexandria. Energies are from PBE.

Cell: 4.2394 4.2394 10.2581 Å, 78.07 78.07 60.00°
Element x y z (fractional)
Ru: 0.6659 0.6659 0.0022
La: 0.2840 0.2840 0.1481
La: 0.0487 0.0487 0.8539
Ba: 0.5014 0.5014 0.4958

Output
* energy of formation from the pure elements: -167 meV/atom
* volume: 155.1 Å³ per cell
* calculated total energy: -5.431 eV per atom

=====

3.
Here is an optimized crystal structure of LiY2Ti from Alexandria. Energies are from PBE.

Cell: 3.4478 3.4478 8.5104 Å, 90.00 90.00 90.00°
Element x y z (fractional)
Y: 0.0000 0.0000 0.2344
Ti: 0.5000 0.5000 0.0000
Li: 0.5000 0.5000 0.5000
Y: 0.0000 0.0000 0.7656

Output
* energy of formation from the pure elements: 153 meV/atom
* volume: 101.2 Å³ per cell
* calculated total energy: -5.531 eV per atom

=====

4.
Here is an optimized crystal structure of Th4TeAs2Pt from Alexandria. Energies are from PBE.

Cell: 4.1838 7.5415 7.5609 Å, 71.34 90.00 90.00°
Element x y z (fractional)
Th: 0.0000 0.7440 0.7690
Th: 0.0000 0.2560 0.2310
Th: 0.5000 0.7672 0.2319
Th: 0.5000 0.2328 0.7681
As: 0.0000 0.0000 0.0000
Pt: 0.5000 0.5000 0.0000
Te: 0.0000 0.5000 0.5000
As: 0.5000 0.0000 0.5000

Output
* volume: 226.0 Å³ per cell
* raw formation energy: -1232 meV/atom
* calculated total energy: -7.252 eV per atom

=====

5.
Here is an optimized crystal structure of AlAs4Rh from Alexandria. Energies are from PBE.

Cell: 5.4419 5.4419 5.4419 Å, 60.00 60.00 60.00°
Element x y z (fractional)
Al: 0.0000 0.0000 0.0000
As: 0.1206 0.6265 0.6265
As: 0.6265 0.6265 0.6265
Rh: 0.2500 0.2500 0.2500
As: 0.6265 0.6265 0.1206
As: 0.6265 0.1206 0.6265

Output
* energy of formation from the pure elements: 560 meV/atom
* volume: 114.0 Å³ per cell
* calculated total energy: -4.389 eV per atom

=====

6.
Here is an optimized crystal structure of Tb6Tm2Tl from Alexandria. Energies are from PBE.

Cell: 6.3573 9.4617 9.4617 Å, 93.02 86.82 86.82°
Element x y z (fractional)
Tm: 0.4450 0.2614 0.1387
Tb: 0.5781 0.0384 0.6915
Tl: 0.2500 0.0188 0.9812
Tl: 0.7500 0.9812 0.0188
Tb: 0.4219 0.9616 0.3085
Tb: 0.4235 0.6740 0.5282
Tb: 0.5765 0.3260 0.4718
Tb: 0.9023 0.8163 0.4086
Tm: 0.0550 0.8613 0.7386
Tb: 0.0765 0.4718 0.3260
Tb: 0.4023 0.4086 0.8163
Tm: 0.9450 0.1387 0.2614
Tb: 0.0977 0.1837 0.5914
Tb: 0.5977 0.5914 0.1837
Tb: 0.0781 0.6915 0.0384
Tb: 0.9235 0.5282 0.6740
Tb: 0.9219 0.3085 0.9616
Tm: 0.5550 0.7386 0.8613

Output
* energy of formation from the pure elements: 33 meV/atom
* volume: 566.5 Å³ per cell
* calculated total energy: -4.310 eV per atom